(1)
DFT (PBE-GGA) results for an optimized crystal structure of SrCa8Ac2.

Properties
As for the magnetic moment: 0.0 μB per cell. The value obtained for the final energy is -24.9 eV for the cell shown. The relative energy among the computed polymorphs comes out at 0.0541 eV/atom. Its crystal system is monoclinic. The value obtained for the formation energy is 91 meV per atom.

abc: 7.295 11.705 7.295
angles: 114.25 115.67 65.75
Fractional coordinates of all 11 atoms:
Sr (0.000, 0.000, 0.000)
Ca (0.477, 0.282, 0.016)
Ca (0.016, 0.718, 0.477)
Ca (0.366, 0.950, 0.634)
Ca (0.634, 0.050, 0.366)
Ca (0.984, 0.282, 0.523)
Ca (0.523, 0.718, 0.984)
Ca (0.585, 0.592, 0.415)
Ca (0.415, 0.408, 0.585)
Ac (0.061, 0.619, 0.939)
Ac (0.939, 0.381, 0.061)



(2)
DFT (PBE-GGA) results for an optimized crystal structure of Sr2Ca3Ac2.

Properties
As for the magnetic moment: 0.0 μB per cell. The value obtained for the final energy is -34.5 eV for the cell shown. Its crystal system is trigonal. The value obtained for the formation energy is 48 meV per atom.

abc: 6.362 11.020 11.675
angles: 50.99 90.00 90.00
Fractional coordinates of all 14 atoms:
Sr (0.500, 0.222, 0.417)
Sr (0.000, 0.278, 0.583)
Sr (0.000, 0.722, 0.417)
Sr (0.500, 0.778, 0.583)
Ca (0.500, 0.500, 0.000)
Ca (0.000, 0.000, 0.000)
Ca (0.000, 0.142, 0.288)
Ca (0.500, 0.358, 0.712)
Ca (0.500, 0.642, 0.288)
Ca (0.000, 0.858, 0.712)
Ac (0.500, 0.082, 0.127)
Ac (0.000, 0.582, 0.127)
Ac (0.000, 0.418, 0.873)
Ac (0.500, 0.918, 0.873)



(3)
DFT (PBE-GGA) results for an optimized crystal structure of Sr2Ca7Ac2.

Properties
As for the magnetic moment: 0.0 μB per cell. The value obtained for the final energy is -24.1 eV for the cell shown. The relative energy among the computed polymorphs comes out at 0.0000 eV/atom. Its crystal system is monoclinic. The value obtained for the formation energy is 135 meV per atom.

abc: 6.769 8.993 8.993
angles: 92.38 105.71 105.71
Fractional coordinates of all 11 atoms:
Sr (0.081, 0.225, 0.225)
Sr (0.919, 0.775, 0.775)
Ca (0.654, 0.926, 0.405)
Ca (0.346, 0.595, 0.074)
Ca (0.346, 0.074, 0.595)
Ca (0.654, 0.405, 0.926)
Ca (0.500, 0.000, 0.000)
Ca (0.310, 0.592, 0.592)
Ca (0.690, 0.408, 0.408)
Ac (0.000, 0.241, 0.759)
Ac (0.000, 0.759, 0.241)



(4)
DFT (PBE-GGA) results for an optimized crystal structure of Sr7Ca12Ac.

Properties
As for the magnetic moment: 0.0 μB per cell. The value obtained for the final energy is -28.5 eV for the cell shown. Its crystal system is cubic. The value obtained for the formation energy is 570 meV per atom.

abc: 11.685 11.685 11.685
angles: 109.47 109.47 109.47
Fractional coordinates of all 20 atoms:
Sr (0.500, 0.500, 0.000)
Sr (0.000, 0.500, 0.500)
Sr (0.500, 0.000, 0.500)
Sr (0.500, 0.500, 0.500)
Sr (0.000, 0.000, 0.500)
Sr (0.500, 0.000, 0.000)
Sr (0.000, 0.500, 0.000)
Ca (0.390, 0.644, 0.747)
Ca (0.897, 0.644, 0.253)
Ca (0.610, 0.356, 0.253)
Ca (0.103, 0.356, 0.747)
Ca (0.747, 0.103, 0.356)
Ca (0.747, 0.390, 0.644)
Ca (0.253, 0.897, 0.644)
Ca (0.253, 0.610, 0.356)
Ca (0.644, 0.747, 0.390)
Ca (0.356, 0.253, 0.610)
Ca (0.644, 0.253, 0.897)
Ca (0.356, 0.747, 0.103)
Ac (0.000, 0.000, 0.000)



(5)
DFT (PBE-GGA) results for an optimized crystal structure of Sr6Ca12Ac.

Properties
As for the magnetic moment: 0.0 μB per cell. The value obtained for the final energy is -36.5 eV for the cell shown. Its crystal system is trigonal. The value obtained for the formation energy is 91 meV per atom.

abc: 9.927 9.927 9.927
angles: 101.37 101.37 101.37
Fractional coordinates of all 19 atoms:
Sr (0.160, 0.161, 0.424)
Sr (0.839, 0.576, 0.840)
Sr (0.576, 0.840, 0.839)
Sr (0.840, 0.839, 0.576)
Sr (0.161, 0.424, 0.160)
Sr (0.424, 0.160, 0.161)
Ca (0.598, 0.179, 0.599)
Ca (0.179, 0.599, 0.598)
Ca (0.599, 0.598, 0.179)
Ca (0.402, 0.821, 0.401)
Ca (0.821, 0.401, 0.402)
Ca (0.401, 0.402, 0.821)
Ca (0.260, 0.000, 0.740)
Ca (0.260, 0.740, 0.000)
Ca (0.000, 0.260, 0.740)
Ca (0.740, 0.000, 0.260)
Ca (0.740, 0.260, 0.000)
Ca (0.000, 0.740, 0.260)
Ac (0.000, 0.000, 0.000)



(6)
DFT (PBE-GGA) results for an optimized crystal structure of Sr4CaAc.

Properties
As for the magnetic moment: 0.0 μB per cell. The value obtained for the final energy is -48.3 eV for the cell shown. Its crystal system is orthorhombic. The value obtained for the formation energy is 129 meV per atom.

abc: 11.464 7.530 14.293
angles: 90.01 90.00 90.00
Fractional coordinates of all 24 atoms:
Sr (0.687, 0.996, 0.534)
Sr (0.187, 0.004, 0.966)
Sr (0.313, 0.004, 0.466)
Sr (0.813, 0.996, 0.034)
Sr (0.313, 0.496, 0.466)
Sr (0.813, 0.504, 0.034)
Sr (0.687, 0.504, 0.534)
Sr (0.187, 0.496, 0.966)
Sr (0.886, 0.750, 0.297)
Sr (0.386, 0.250, 0.203)
Sr (0.114, 0.250, 0.703)
Sr (0.614, 0.750, 0.797)
Sr (0.209, 0.750, 0.224)
Sr (0.709, 0.250, 0.276)
Sr (0.791, 0.250, 0.776)
Sr (0.291, 0.750, 0.724)
Ca (0.551, 0.750, 0.300)
Ca (0.051, 0.250, 0.200)
Ca (0.449, 0.250, 0.700)
Ca (0.949, 0.750, 0.800)
Ac (0.988, 0.250, 0.453)
Ac (0.488, 0.750, 0.047)
Ac (0.012, 0.750, 0.547)
Ac (0.512, 0.250, 0.953)



(7)
DFT (PBE-GGA) results for an optimized crystal structure of Sr12Ca2Ac.

Properties
As for the magnetic moment: 1.2 μB per cell. The value obtained for the final energy is -47.5 eV for the cell shown. Its crystal system is tetragonal. The value obtained for the formation energy is 302 meV per atom.

abc: 7.507 7.507 30.554
angles: 90.00 90.00 90.00
Site moments in Bohr magnetons follow the coordinates.
Fractional coordinates of all 30 atoms:
Sr (0.500, 0.500, 0.786)  -0.01
Sr (0.000, 0.000, 0.786)  -0.01
Sr (0.794, 0.706, 0.892)  0.01
Sr (0.294, 0.794, 0.892)  0.01
Sr (0.000, 0.000, 0.340)  -0.01
Sr (0.206, 0.706, 0.108)  0.01
Sr (0.820, 0.320, 0.560)  0.00
Sr (0.500, 0.500, 0.340)  -0.01
Sr (0.206, 0.294, 0.892)  0.01
Sr (0.706, 0.794, 0.108)  0.01
Sr (0.320, 0.180, 0.560)  0.00
Sr (0.680, 0.180, 0.440)  0.00
Sr (0.000, 0.000, 0.660)  -0.01
Sr (0.180, 0.320, 0.440)  0.00
Sr (0.294, 0.206, 0.108)  0.01
Sr (0.820, 0.680, 0.440)  0.00
Sr (0.680, 0.820, 0.560)  0.00
Sr (0.000, 0.000, 0.214)  -0.01
Sr (0.180, 0.680, 0.560)  0.00
Sr (0.500, 0.500, 0.660)  -0.01
Sr (0.706, 0.206, 0.892)  0.01
Sr (0.500, 0.500, 0.214)  -0.01
Sr (0.320, 0.820, 0.440)  0.00
Sr (0.794, 0.294, 0.108)  0.01
Ca (0.500, 0.000, 0.282)  -0.01
Ca (0.000, 0.500, 0.282)  -0.01
Ca (0.000, 0.500, 0.718)  -0.01
Ca (0.500, 0.000, 0.718)  -0.01
Ac (0.500, 0.000, 0.000)  0.18
Ac (0.000, 0.500, 0.000)  0.18



(8)
DFT (PBE-GGA) results for an optimized crystal structure of Sr4Ca6Ac.

Properties
As for the magnetic moment: 0.0 μB per cell. The value obtained for the final energy is -20.9 eV for the cell shown. Its crystal system is tetragonal. The value obtained for the formation energy is 179 meV per atom.

abc: 10.984 10.984 10.984
angles: 57.85 140.00 140.00
Fractional coordinates of all 11 atoms:
Sr (0.000, 0.626, 0.013)
Sr (0.387, 0.374, 0.374)
Sr (0.000, 0.013, 0.626)
Sr (0.613, 0.987, 0.987)
Ca (0.000, 0.793, 0.437)
Ca (0.000, 0.437, 0.793)
Ca (0.356, 0.563, 0.563)
Ca (0.500, 0.500, 0.000)
Ca (0.644, 0.207, 0.207)
Ca (0.500, 0.000, 0.500)
Ac (0.000, 0.000, 0.000)